Entry 1:
A plane-wave DFT calculation with SCAN was carried out for Nd3Fe29 at its PBEsol-relaxed geometry.

Summary:
E_form, meV/atom: 75

The structure in CIF format:
```
data_Nd3Fe29
_chemical_formula_sum 'Nd3 Fe29'
_cell_length_a 6.288
_cell_length_b 6.288
_cell_length_c 10.245
_cell_angle_alpha 85.15
_cell_angle_beta 85.15
_cell_angle_gamma 82.77
_symmetry_space_group_name_H-M 'P 1'
_symmetry_Int_Tables_number 1
_symmetry_space_group_name_Hall 'P 1'
loop_
_atom_site_label
_atom_site_fract_x
_atom_site_fract_y
_atom_site_fract_z
Nd1 0.814 0.814 0.598
Nd2 0.186 0.186 0.402
Nd3 0.000 0.000 0.000
Fe1 0.500 0.000 0.000
Fe2 0.000 0.500 0.000
Fe3 0.808 0.314 0.597
Fe4 0.500 0.500 0.500
Fe5 0.293 0.293 0.860
Fe6 0.707 0.707 0.140
Fe7 0.519 0.519 0.748
Fe8 0.481 0.481 0.252
Fe9 0.316 0.867 0.196
Fe10 0.133 0.684 0.804
Fe11 0.684 0.133 0.804
Fe12 0.867 0.316 0.196
Fe13 0.542 0.828 0.374
Fe14 0.172 0.458 0.626
Fe15 0.458 0.172 0.626
Fe16 0.828 0.542 0.374
Fe17 0.639 0.361 0.000
Fe18 0.361 0.639 0.000
Fe19 0.281 0.281 0.107
Fe20 0.719 0.719 0.893
Fe21 0.097 0.592 0.199
Fe22 0.408 0.903 0.801
Fe23 0.903 0.408 0.801
Fe24 0.592 0.097 0.199
Fe25 0.904 0.904 0.293
Fe26 0.096 0.096 0.707
Fe27 0.314 0.808 0.597
Fe28 0.192 0.686 0.403
Fe29 0.686 0.192 0.403
```

=====

Entry 2:
A plane-wave DFT calculation with SCAN was carried out for TaZnRu3 at its PBEsol-relaxed geometry.

Summary:
E_form, meV/atom: 1254

The structure in CIF format:
```
data_TaZnRu3
_chemical_formula_sum 'Ta1 Zn1 Ru3'
_cell_length_a 4.337
_cell_length_b 4.337
_cell_length_c 4.337
_cell_angle_alpha 90.00
_cell_angle_beta 90.00
_cell_angle_gamma 90.00
_symmetry_space_group_name_H-M 'P 1'
_symmetry_Int_Tables_number 1
_symmetry_space_group_name_Hall 'P 1'
loop_
_atom_site_label
_atom_site_fract_x
_atom_site_fract_y
_atom_site_fract_z
Ru1 0.000 0.500 0.000
Ru2 0.000 0.000 0.500
Ru3 0.500 0.000 0.000
Zn1 0.000 0.000 0.000
Ta1 0.500 0.500 0.500
```

=====

Entry 3:
A plane-wave DFT calculation with SCAN was carried out for As2RhSeN at its PBEsol-relaxed geometry.

Summary:
ΔE_f (raw), kJ per mole of atoms: 132.4

The structure in CIF format:
```
data_As2RhSeN
_chemical_formula_sum 'As2 Rh1 Se1 N1'
_cell_length_a 4.643
_cell_length_b 4.643
_cell_length_c 5.082
_cell_angle_alpha 90.00
_cell_angle_beta 90.00
_cell_angle_gamma 90.00
_symmetry_space_group_name_H-M 'P 1'
_symmetry_Int_Tables_number 1
_symmetry_space_group_name_Hall 'P 1'
loop_
_atom_site_label
_atom_site_fract_x
_atom_site_fract_y
_atom_site_fract_z
As1 0.000 0.500 0.000
As2 0.500 0.000 0.000
Rh1 0.000 0.000 0.000
Se1 0.000 0.000 0.500
N1 0.500 0.500 0.500
```

=====

Entry 4:
A plane-wave DFT calculation with SCAN was carried out for MgTaAl2 at its PBEsol-relaxed geometry.

Summary:
E_form, meV/atom: -73

The structure in CIF format:
```
data_MgTaAl2
_chemical_formula_sum 'Mg1 Ta1 Al2'
_cell_length_a 2.942
_cell_length_b 3.995
_cell_length_c 5.826
_cell_angle_alpha 90.00
_cell_angle_beta 90.00
_cell_angle_gamma 90.00
_symmetry_space_group_name_H-M 'P 1'
_symmetry_Int_Tables_number 1
_symmetry_space_group_name_Hall 'P 1'
loop_
_atom_site_label
_atom_site_fract_x
_atom_site_fract_y
_atom_site_fract_z
Al1 0.000 0.000 0.735
Al2 0.000 0.000 0.265
Mg1 0.500 0.500 0.000
Ta1 0.500 0.500 0.500
```

=====

Number 1: magnetization 71.01 μB per cell. Number 2: magnetization 0.00 μB per cell. Number 3: magnetization 2.48 μB per cell. Number 4: magnetization 0.00 μB per cell.